1.
# LiHgW2 (PBE, optimized geometry)
data_LiHgW2
_chemical_formula_sum 'Li2 Hg2 W4'
_cell_length_a 4.5319
_cell_length_b 4.5319
_cell_length_c 6.4310
_cell_angle_alpha 90.00
_cell_angle_beta 90.00
_cell_angle_gamma 90.00
_space_group_name_H-M_alt 'I -4 m 2'
_space_group_IT_number 119
_space_group_name_Hall 'I -4 -2'
loop_
_atom_site_label
_atom_site_type_symbol
_atom_site_fract_x
_atom_site_fract_y
_atom_site_fract_z
Li1 Li 0.0000 0.0000 0.0000
Hg1 Hg 0.0000 0.5000 0.2500
W1 W 0.0000 0.0000 0.5000
W2 W 0.0000 0.5000 0.7500
# ΔE_f = 0.6447 eV/atom



2.
# Li4HgW (PBE, optimized geometry)
data_Li4HgW
_chemical_formula_sum 'Li16 Hg4 W4'
_cell_length_a 7.1412
_cell_length_b 7.1412
_cell_length_c 7.1412
_cell_angle_alpha 90.00
_cell_angle_beta 90.00
_cell_angle_gamma 90.00
_space_group_name_H-M_alt 'F -4 3 m'
_space_group_IT_number 216
_space_group_name_Hall 'F -4 2 3'
loop_
_atom_site_label
_atom_site_type_symbol
_atom_site_fract_x
_atom_site_fract_y
_atom_site_fract_z
Li1 Li 0.1238 0.1238 0.1238
Hg1 Hg 0.0000 0.0000 0.5000
W1 W 0.2500 0.2500 0.7500
# ΔE_f = 0.4991 eV/atom